1.
Below is a relaxed Er4TlSN2 crystal, with properties calculated at the PBE level.

Computed properties:
Its total energy is -0.4864 Ry per atom.

a b c (Å): 3.5309 3.5309 14.0108
angles (deg): 90.00 90.00 120.00
Last column: nearest neighbours and their distance in Å.
Space group P-6m2 (No. 187)
Asymmetric unit:
Er (0.0000, 0.0000, 0.1324) (multiplicity 2)  3 N 2.41
Er (0.3333, 0.6667, 0.3175) (multiplicity 2)  3 N 2.42
Tl (0.0000, 0.0000, 0.5000) (multiplicity 1)  6 Er 3.27, 6 Tl 3.53
S (0.3333, 0.6667, 0.0000) (multiplicity 1)  6 Er 2.76
N (0.6667, 0.3333, 0.2240) (multiplicity 2)  6 Er 2.41-2.42

***

2.
Below is a relaxed Er2Tc2O5 crystal, with properties calculated at the PBE level.

Computed properties:
Its energy above the most stable polymorph in this dataset is 0.0 meV/atom.

a b c (Å): 3.9565 3.9565 6.7075
angles (deg): 90.00 90.00 90.00
Last column: nearest neighbours and their distance in Å.
Space group P4/mmm (No. 123)
Asymmetric unit:
Er (0.0000, 0.0000, 0.0000) (multiplicity 1)  8 O 2.52
Er (0.0000, 0.0000, 0.5000) (multiplicity 1)  12 O 2.67-2.80
Tc (0.5000, 0.5000, 0.1727) (multiplicity 2)  5 O 2.02-2.20
O (0.0000, 0.5000, 0.2328) (multiplicity 4)  2 Tc 2.02
O (0.5000, 0.5000, 0.5000) (multiplicity 1)  2 Tc 2.20

***

3.
Below is a relaxed CoH3 crystal, with properties calculated at the PBE level.

Computed properties:
Its energy above the most stable polymorph in this dataset is 21.3 meV/atom.

a b c (Å): 2.5920 2.5920 2.5920
angles (deg): 90.00 90.00 90.00
Last column: nearest neighbours and their distance in Å.
Space group Pm-3m (No. 221)
Asymmetric unit:
Co (0.0000, 0.0000, 0.0000) (multiplicity 1)  12 H 1.83
H (0.0000, 0.5000, 0.5000) (multiplicity 3)  8 H 1.83, 4 Co 1.83

***

4.
Below is a relaxed LaBeIr crystal, with properties calculated at the PBE level.

Computed properties:
Its energy above the most stable polymorph in this dataset is 0.0 meV/atom.

a b c (Å): 6.4581 6.4581 6.4581
angles (deg): 90.00 90.00 90.00
Last column: nearest neighbours and their distance in Å.
Space group F-43m (No. 216)
Asymmetric unit:
La (0.0000, 0.0000, 0.0000) (multiplicity 4)  4 Ir 2.80
Be (0.0000, 0.0000, 0.5000) (multiplicity 4)  4 Ir 2.80
Ir (0.2500, 0.2500, 0.7500) (multiplicity 4)  4 La 2.80, 4 Be 2.80

***

5.
Below is a relaxed ErTe2 crystal, with properties calculated at the PBE level.

Computed properties:
Its total energy is -0.2594 Ry per atom.

a b c (Å): 8.9757 8.9757 8.9757
angles (deg): 90.00 90.00 90.00
Last column: nearest neighbours and their distance in Å.
Space group Fd-3m (No. 227, origin choice 2)
Asymmetric unit:
Er (0.1250, 0.1250, 0.1250) (multiplicity 8)  12 Te 3.72, 4 Er 3.89
Te (0.0000, 0.0000, 0.5000) (multiplicity 16)  6 Te 3.17

***

6.
Below is a relaxed LuMgCuBi crystal, with properties calculated at the PBE level.

Computed properties:
Its energy above the most stable polymorph in this dataset is 0.0 meV/atom.

a b c (Å): 7.1586 7.1586 7.1586
angles (deg): 90.00 90.00 90.00
Last column: nearest neighbours and their distance in Å.
Space group F-43m (No. 216)
Asymmetric unit:
Lu (0.0000, 0.0000, 0.0000) (multiplicity 4)  4 Mg 3.10, 4 Cu 3.10
Mg (0.2500, 0.2500, 0.2500) (multiplicity 4)  4 Bi 3.10, 4 Lu 3.10
Cu (0.2500, 0.2500, 0.7500) (multiplicity 4)  4 Bi 3.10, 4 Lu 3.10
Bi (0.0000, 0.0000, 0.5000) (multiplicity 4)  4 Mg 3.10, 4 Cu 3.10

***

7.
Below is a relaxed RbNbCl3 crystal, with properties calculated at the PBE level.

Computed properties:
Its total energy is -0.3310 Ry per atom.

a b c (Å): 7.3630 7.3630 17.1949
angles (deg): 90.00 90.00 120.00
Last column: nearest neighbours and their distance in Å.
Space group R-3c (No. 167, hexagonal axes)
Asymmetric unit:
Rb (0.0000, 0.0000, 0.2500) (multiplicity 6)  9 Cl 3.22-3.60
Nb (0.0000, 0.0000, 0.0000) (multiplicity 6)  6 Cl 2.61
Cl (0.0000, 0.4370, 0.2500) (multiplicity 18)  2 Nb 2.61

***

8.
Below is a relaxed YHo2Co2B2P3 crystal, with properties calculated at the PBE level.

Computed properties:
Its total energy is -0.5021 Ry per atom.

a b c (Å): 3.8573 3.8573 21.8550
angles (deg): 90.00 90.00 90.00
Last column: nearest neighbours and their distance in Å.
Space group I4/mmm (No. 139)
Asymmetric unit:
Y (0.0000, 0.0000, 0.0000) (multiplicity 2)  6 P 2.73
Ho (0.0000, 0.0000, 0.3619) (multiplicity 4)  5 P 2.74-3.02
Co (0.0000, 0.5000, 0.2500) (multiplicity 4)  4 B 2.08
B (0.0000, 0.0000, 0.2150) (multiplicity 4)  1 P 1.97, 4 Co 2.08
P (0.0000, 0.0000, 0.1249) (multiplicity 4)  1 B 1.97
P (0.0000, 0.0000, 0.5000) (multiplicity 2)  4 Y 2.73, 2 Ho 3.02

***

9.
Below is a relaxed HoBNO crystal, with properties calculated at the PBE level.

Computed properties:
Its energy above the most stable polymorph in this dataset is 836.9 meV/atom.

a b c (Å): 3.5894 3.5894 6.9150
angles (deg): 90.00 90.00 90.00
Last column: nearest neighbours and their distance in Å.
Space group P4/nmm (No. 129, origin choice 2)
Asymmetric unit:
Ho (0.2500, 0.2500, 0.1730) (multiplicity 2)  4 O 2.16, 1 N 2.39
B (0.2500, 0.7500, 0.5000) (multiplicity 2)  4 N 1.80
N (0.2500, 0.2500, 0.5189) (multiplicity 2)  4 B 1.80
O (0.2500, 0.7500, 0.0000) (multiplicity 2)  4 Ho 2.16

***

10.
Below is a relaxed KNd crystal, with properties calculated at the PBE level.

Computed properties:
Its total energy is -0.1356 Ry per atom.

a b c (Å): 7.0332 7.0332 7.0332
angles (deg): 90.00 90.00 90.00
Last column: nearest neighbours and their distance in Å.
Space group Fm-3m (No. 225)
Asymmetric unit:
K (0.0000, 0.0000, 0.0000) (multiplicity 4)  6 Nd 3.52
Nd (0.0000, 0.0000, 0.5000) (multiplicity 4)  6 K 3.52

***

11.
Below is a relaxed ZrSnNO crystal, with properties calculated at the PBE level.

Computed properties:
Its energy above the most stable polymorph in this dataset is 44.5 meV/atom.

a b c (Å): 3.6535 6.7622 6.0674
angles (deg): 90.00 90.00 90.00
Last column: nearest neighbours and their distance in Å.
Space group Pmc2_1 (No. 26)
Asymmetric unit:
Zr (0.0000, 0.1854, 0.0000) (multiplicity 2)  2 O 1.98, 2 N 2.10
Sn (0.5000, 0.3490, 0.5642) (multiplicity 2)  2 N 2.22-2.44
N (0.5000, 0.3344, 0.9665) (multiplicity 2)  2 Zr 2.10, 1 Sn 2.22
O (0.0000, 0.0260, 0.2743) (multiplicity 2)  2 Zr 1.98

***

12.
Below is a relaxed Fe3B crystal, with properties calculated at the PBE level.

Computed properties:
Its total energy is -0.5707 Ry per atom.

a b c (Å): 3.4244 3.4244 6.6695
angles (deg): 90.00 90.00 90.00
Last column: nearest neighbours and their distance in Å.
Space group I4/mmm (No. 139)
Asymmetric unit:
Fe (0.0000, 0.0000, 0.0000) (multiplicity 2)  8 Fe 2.39, 4 B 2.42
Fe (0.0000, 0.5000, 0.2500) (multiplicity 4)  8 Fe 2.39-2.42, 4 B 2.39
B (0.0000, 0.0000, 0.5000) (multiplicity 2)  12 Fe 2.39-2.42

***

13.
Below is a relaxed Li4NbTlO6 crystal, with properties calculated at the PBE level.

Computed properties:
Its total energy is -0.4428 Ry per atom.

a b c (Å): 5.3955 9.3047 5.2767
angles (deg): 90.00 110.31 90.00
Last column: nearest neighbours and their distance in Å.
Space group C2 (No. 5)
Asymmetric unit:
Li (0.0000, 0.0000, 0.0000) (multiplicity 2)  4 O 2.04-2.22
Li (0.0000, 0.1496, 0.5000) (multiplicity 2)  6 O 2.11-2.25
Li (0.0000, 0.3054, 0.0000) (multiplicity 2)  6 O 2.09-2.33
Li (0.0000, 0.6453, 0.0000) (multiplicity 2)  4 O 2.07-2.15
Nb (0.0000, 0.4817, 0.5000) (multiplicity 2)  6 O 1.99-2.09
Tl (0.0000, 0.8185, 0.5000) (multiplicity 2)  6 O 2.22-2.31
O (0.2239, 0.3352, 0.7503) (multiplicity 4)  1 Nb 1.99, 2 Li 2.09-2.22
O (0.2303, 0.4947, 0.2687) (multiplicity 4)  1 Nb 2.03, 2 Li 2.07-2.11, 1 Tl 2.25
O (0.2382, 0.6400, 0.7469) (multiplicity 4)  4 Li 2.04-2.23, 1 Nb 2.09, 1 Tl 2.22

***

14.
Below is a relaxed Tm3As2S crystal, with properties calculated at the PBE level.

Computed properties:
Its total energy is -0.4519 Ry per atom.

a b c (Å): 4.0025 4.0025 9.7346
angles (deg): 90.00 90.00 120.00
Last column: nearest neighbours and their distance in Å.
Space group P-3m1 (No. 164)
Asymmetric unit:
Tm (0.0000, 0.0000, 0.0000) (multiplicity 1)  6 As 2.85
Tm (0.3333, 0.6667, 0.3356) (multiplicity 2)  3 As 2.81, 3 S 2.81
As (0.3333, 0.6667, 0.8284) (multiplicity 2)  6 Tm 2.81-2.85
S (0.0000, 0.0000, 0.5000) (multiplicity 1)  6 Tm 2.81

***

15.
Below is a relaxed ThBe13 crystal, with properties calculated at the PBE level.

Computed properties:
Its total energy is -0.3066 Ry per atom.

a b c (Å): 10.3431 10.3431 10.3431
angles (deg): 90.00 90.00 90.00
Last column: nearest neighbours and their distance in Å.
Space group Fm-3c (No. 226)
Asymmetric unit:
Th (0.2500, 0.2500, 0.2500) (multiplicity 8)  24 Be 3.05
Be (0.0000, 0.0000, 0.0000) (multiplicity 8)  12 Be 2.15
Be (0.0000, 0.1128, 0.1750) (multiplicity 96)  10 Be 2.15-2.33

***

16.
Below is a relaxed HfNiBiW crystal, with properties calculated at the PBE level.

Computed properties:
Its total energy is -0.5459 Ry per atom.

a b c (Å): 6.6849 6.6849 6.6849
angles (deg): 90.00 90.00 90.00
Last column: nearest neighbours and their distance in Å.
Space group F-43m (No. 216)
Asymmetric unit:
Hf (0.0000, 0.0000, 0.0000) (multiplicity 4)  4 W 2.89, 4 Bi 2.89
Ni (0.0000, 0.0000, 0.5000) (multiplicity 4)  4 W 2.89, 4 Bi 2.89
Bi (0.2500, 0.2500, 0.2500) (multiplicity 4)  4 Hf 2.89, 4 Ni 2.89
W (0.2500, 0.2500, 0.7500) (multiplicity 4)  4 Hf 2.89, 4 Ni 2.89

***

17.
Below is a relaxed KTbCdTe3 crystal, with properties calculated at the PBE level.

Computed properties:
Its total energy is -0.2741 Ry per atom.

a b c (Å): 9.1984 4.5080 11.0142
angles (deg): 90.00 107.74 90.00
Last column: nearest neighbours and their distance in Å.
Space group P2_1/m (No. 11)
Asymmetric unit:
K (0.2350, 0.2500, 0.2654) (multiplicity 2)  6 Te 3.50-3.85
Tb (0.3196, 0.7500, 0.8642) (multiplicity 2)  6 Te 3.04-3.30
Cd (0.0810, 0.2500, 0.6102) (multiplicity 2)  4 Te 2.80-2.98
Te (0.0833, 0.2500, 0.8653) (multiplicity 2)  1 Cd 2.80, 2 Tb 3.13
Te (0.2448, 0.7500, 0.5514) (multiplicity 2)  3 Cd 2.89-2.98
Te (0.4559, 0.7500, 0.1530) (multiplicity 2)  3 Tb 3.04-3.10

***

18.
Below is a relaxed BaCdGeSe4 crystal, with properties calculated at the PBE level.

Computed properties:
Its total energy is -0.2937 Ry per atom.

a b c (Å): 22.5040 23.1630 13.4266
angles (deg): 90.00 90.00 90.00
Last column: nearest neighbours and their distance in Å.
Space group Fdd2 (No. 43)
Asymmetric unit:
Ba (0.0000, 0.0000, 0.0000) (multiplicity 8)  8 Se 3.36-3.45
Ba (0.0000, 0.0000, 0.4893) (multiplicity 8)  8 Se 3.38-3.44
Ba (0.0035, 0.2486, 0.9942) (multiplicity 16)  8 Se 3.36-3.48
Cd (0.0751, 0.3747, 0.2823) (multiplicity 16)  4 Se 2.63-2.74
Cd (0.1128, 0.3757, 0.7499) (multiplicity 16)  4 Se 2.62-2.74
Ge (0.0664, 0.1254, 0.2052) (multiplicity 16)  4 Se 2.38-2.41
Ge (0.1114, 0.1251, 0.7481) (multiplicity 16)  4 Se 2.38-2.41
Se (0.0270, 0.3748, 0.6175) (multiplicity 16)  1 Ge 2.41, 1 Cd 2.62
Se (0.0349, 0.1239, 0.8701) (multiplicity 16)  1 Ge 2.38
Se (0.0400, 0.1268, 0.3771) (multiplicity 16)  1 Ge 2.38
Se (0.0473, 0.3752, 0.0922) (multiplicity 16)  1 Ge 2.41, 1 Cd 2.63
Se (0.1159, 0.0429, 0.6391) (multiplicity 16)  1 Ge 2.40
Se (0.1157, 0.2081, 0.6409) (multiplicity 16)  1 Ge 2.40
Se (0.1178, 0.0422, 0.1428) (multiplicity 16)  1 Ge 2.40
Se (0.1182, 0.2078, 0.1404) (multiplicity 16)  1 Ge 2.40

***

19.
Below is a relaxed GaCuWAu crystal, with properties calculated at the PBE level.

Computed properties:
Its energy above the most stable polymorph in this dataset is 120.5 meV/atom.

a b c (Å): 6.3087 6.3087 6.3087
angles (deg): 90.00 90.00 90.00
Last column: nearest neighbours and their distance in Å.
Space group F-43m (No. 216)
Asymmetric unit:
Ga (0.0000, 0.0000, 0.0000) (multiplicity 4)  4 Au 2.73, 4 Cu 2.73
Cu (0.2500, 0.2500, 0.2500) (multiplicity 4)  4 Ga 2.73, 4 W 2.73
W (0.0000, 0.0000, 0.5000) (multiplicity 4)  4 Cu 2.73, 4 Au 2.73
Au (0.2500, 0.2500, 0.7500) (multiplicity 4)  4 W 2.73, 4 Ga 2.73

***

20.
Below is a relaxed HoCuIr crystal, with properties calculated at the PBE level.

Computed properties:
Its energy above the most stable polymorph in this dataset is 0.0 meV/atom. For the formation energy, the calculation gives -0.163 eV/atom.

a b c (Å): 6.3097 6.3097 6.3097
angles (deg): 90.00 90.00 90.00
Last column: nearest neighbours and their distance in Å.
Space group F-43m (No. 216)
Asymmetric unit:
Ho (0.0000, 0.0000, 0.0000) (multiplicity 4)  4 Ir 2.73
Cu (0.0000, 0.0000, 0.5000) (multiplicity 4)  4 Ir 2.73
Ir (0.2500, 0.2500, 0.7500) (multiplicity 4)  4 Ho 2.73, 4 Cu 2.73

***

21.
Below is a relaxed Pu crystal, with properties calculated at the PBE level.

Computed properties:
Its energy above the most stable polymorph in this dataset is 332.3 meV/atom. For the formation energy, the calculation gives 0.332 eV/atom.

a b c (Å): 5.7981 5.7981 3.1622
angles (deg): 90.00 90.00 90.00
Last column: nearest neighbours and their distance in Å.
Space group I4_1/amd (No. 141, origin choice 2)
Asymmetric unit:
Pu (0.0000, 0.2500, 0.3750) (multiplicity 4)  6 Pu 3.00-3.16

***

22.
Below is a relaxed PrCoSi2Ge crystal, with properties calculated at the PBE level.

Computed properties:
Its total energy is -0.4476 Ry per atom.

a b c (Å): 4.1985 4.1985 9.7802
angles (deg): 90.00 90.00 90.00
Last column: nearest neighbours and their distance in Å.
Space group I4mm (No. 107)
Asymmetric unit:
Pr (0.0000, 0.0000, 0.0000) (multiplicity 2)  4 Ge 3.06, 8 Si 3.19-3.26, 5 Co 3.28-3.38
Co (0.0000, 0.0000, 0.6647) (multiplicity 2)  4 Si 2.28, 1 Ge 2.34
Si (0.0000, 0.5000, 0.2550) (multiplicity 4)  2 Co 2.28
Ge (0.0000, 0.0000, 0.4256) (multiplicity 2)  1 Co 2.34

***

23.
Below is a relaxed KThAgSe3 crystal, with properties calculated at the PBE level.

Computed properties:
Its total energy is -0.3642 Ry per atom.

a b c (Å): 4.3189 14.7764 11.0970
angles (deg): 90.00 90.00 90.00
Last column: nearest neighbours and their distance in Å.
Space group Cmcm (No. 63)
Asymmetric unit:
K (0.0000, 0.2493, 0.2500) (multiplicity 4)  8 Se 3.38-3.76
Th (0.0000, 0.5000, 0.0000) (multiplicity 4)  6 Se 2.94-2.98
Ag (0.0000, 0.0351, 0.7500) (multiplicity 4)  4 Se 2.64-2.69
Se (0.0000, 0.1303, 0.5490) (multiplicity 8)  1 Ag 2.64, 2 Th 2.94
Se (0.0000, 0.4268, 0.7500) (multiplicity 4)  2 Ag 2.69, 2 Th 2.98